Entry one
A relaxed SrNb2Ni2 crystal. Source: the Alexandria database, functional PBE-GGA.

a = 8.104 Å, b = 8.104 Å, c = 2.765 Å
α = 90.00°, β = 90.00°, γ = 90.00°
Fractional coordinates of all 10 atoms:
1 Sr 0.000 0.000 0.000
2 Nb 0.876 0.376 0.500
3 Ni 0.167 0.333 0.000
4 Ni 0.667 0.167 0.000
5 Ni 0.833 0.667 0.000
6 Nb 0.624 0.876 0.500
7 Sr 0.500 0.500 0.000
8 Nb 0.124 0.624 0.500
9 Ni 0.333 0.833 0.000
10 Nb 0.376 0.124 0.500

Properties
SG ... P4/mbm


Entry two
A relaxed SrNb2Ni2 crystal. Source: the Alexandria database, functional PBE-GGA.

a = 4.619 Å, b = 4.619 Å, c = 5.796 Å
α = 66.52°, β = 66.52°, γ = 90.00°
Fractional coordinates of all 5 atoms:
1 Ni 0.750 0.250 0.500
2 Nb 0.647 0.647 0.705
3 Nb 0.353 0.353 0.295
4 Sr 0.000 0.000 0.000
5 Ni 0.250 0.750 0.500

Properties
SG ... I4/mmm


Entry three
A relaxed SrNb2Ni2 crystal. Source: the Alexandria database, functional PBE-GGA.

a = 4.147 Å, b = 4.147 Å, c = 6.437 Å
α = 71.21°, β = 71.21°, γ = 90.00°
Fractional coordinates of all 5 atoms:
1 Ni 0.388 0.388 0.225
2 Nb 0.250 0.750 0.500
3 Sr 0.000 0.000 0.000
4 Nb 0.750 0.250 0.500
5 Ni 0.612 0.612 0.775

Properties
SG ... I4/mmm


entry three is favored, and the nearest alternative lies 0.120 eV/atom above it.


Entry one
A relaxed SrNbNi2 crystal. Source: the Alexandria database, functional PBE-GGA.

a = 4.677 Å, b = 4.677 Å, c = 4.677 Å
α = 60.00°, β = 60.00°, γ = 60.00°
Fractional coordinates of all 4 atoms:
1 Nb 0.500 0.500 0.500
2 Ni 0.750 0.750 0.750
3 Sr 0.000 0.000 0.000
4 Ni 0.250 0.250 0.250

Properties
SG ... Fm-3m


Entry two
A relaxed SrNbNi2 crystal. Source: the Alexandria database, functional PBE-GGA.

a = 7.204 Å, b = 7.204 Å, c = 6.102 Å
α = 53.82°, β = 53.82°, γ = 90.00°
Fractional coordinates of all 8 atoms:
1 Sr 0.250 0.750 0.500
2 Ni 0.875 0.942 0.750
3 Nb 0.000 0.000 0.000
4 Ni 0.375 0.308 0.750
5 Nb 0.750 0.250 0.500
6 Sr 0.500 0.500 0.000
7 Ni 0.692 0.125 0.250
8 Ni 0.058 0.625 0.250

Properties
SG ... I-42d


entry one is favored, and the nearest alternative lies 0.080 eV/atom above it.


Entry one
A relaxed SrNb2Ni crystal. Source: the Alexandria database, functional PBE-GGA.

a = 4.916 Å, b = 4.916 Å, c = 9.600 Å
α = 75.17°, β = 75.17°, γ = 90.00°
Fractional coordinates of all 8 atoms:
1 Nb 0.375 0.625 0.750
2 Nb 0.375 0.625 0.250
3 Sr 0.750 0.250 0.500
4 Sr 0.000 0.000 0.000
5 Ni 0.250 0.750 0.500
6 Nb 0.875 0.625 0.750
7 Ni 0.500 0.500 0.000
8 Nb 0.375 0.125 0.250

Properties
SG ... I4_1/amd


Entry two
A relaxed SrNb2Ni crystal. Source: the Alexandria database, functional PBE-GGA.

a = 4.721 Å, b = 4.721 Å, c = 4.721 Å
α = 60.00°, β = 60.00°, γ = 60.00°
Fractional coordinates of all 4 atoms:
1 Ni 0.000 0.000 0.000
2 Nb 0.250 0.250 0.250
3 Nb 0.750 0.750 0.750
4 Sr 0.500 0.500 0.500

Properties
SG ... Fm-3m


entry one is favored, and the nearest alternative lies 0.038 eV/atom above it.